This record from Alexandria via LeMat-Bulk describes an optimized crystal structure of CrCuAuF6. The functional is GGA+U.

POSCAR file:
```
CrCuAuF6
1.0
5.383 0.000 0.000
-2.691 4.662 0.000
0.000 0.000 10.240
Cr Cu Au F
2 2 2 12
Cartesian
0.000 3.108 2.560
2.691 1.554 7.680
0.000 3.108 7.680
2.691 1.554 2.560
0.000 0.000 0.000
0.000 0.000 5.120
-0.907 1.737 1.493
-1.641 3.007 3.627
0.907 1.737 3.627
-0.733 4.579 1.493
1.958 0.083 6.613
1.051 1.654 8.747
1.641 3.007 1.493
0.733 4.579 3.627
3.425 0.083 8.747
1.784 2.925 6.613
4.332 1.654 6.613
3.599 2.925 8.747
```

- Electronic total energy: -4.6409 eV/atom
- Space group: P-31c
- N(E_F): 0.526 states/eV/atom